First-principles (PBE) data for crystalline ZnCdSn2 at its relaxed geometry, as listed in Alexandria.

Output
**Formation energy**: 0.109 eV/atom

Unit cell a=3.332 b=3.332 c=10.517 alpha=80.89 beta=80.89 gamma=60.00
Fractional positions:
Zn 0.500 0.500 0.500
Sn 0.096 0.096 0.713
Sn 0.904 0.904 0.287
Cd 0.000 0.000 0.000